## Cd4In (SCAN)

Data for Cd4In at its PBEsol-relaxed geometry.

Unit cell a=4.125 b=4.125 c=13.813 alpha=90.00 beta=90.00 gamma=90.00
Space group I4/mmm (No. 139)
Asymmetric unit:
1 Cd 0.000 0.000 0.099
2 Cd 0.000 0.500 0.250
3 In 0.000 0.000 0.500

Calculated values
* V: 23.50 A^3/atom
* E_form: 0.09 eV per atom
* spin magnetization: 0.00 Bohr magnetons per cell
* crystal system: tetragonal
* distance to the lowest polymorph of the same formula: 56 meV/atom